# Ba2Sc2Bi, optimized geometry, DFT PBE-GGA
data_Ba2Sc2Bi
_cell_length_a 8.0138
_cell_length_b 8.0138
_cell_length_c 5.6801
_cell_angle_alpha 90.00
_cell_angle_beta 90.00
_cell_angle_gamma 90.00
_space_group_name_H-M_alt 'P 1'
_space_group_IT_number 1
_space_group_name_Hall 'P 1'
loop_
_atom_site_label
_atom_site_type_symbol
_atom_site_fract_x
_atom_site_fract_y
_atom_site_fract_z
Ba1 Ba 0.1689 0.3311 0.0000
Ba2 Ba 0.3311 0.8311 0.0000
Ba3 Ba 0.6689 0.1689 0.0000
Ba4 Ba 0.8311 0.6689 0.0000
Sc1 Sc 0.1414 0.6414 0.5000
Sc2 Sc 0.3586 0.1414 0.5000
Sc3 Sc 0.6414 0.8586 0.5000
Sc4 Sc 0.8586 0.3586 0.5000
Bi1 Bi 0.0000 0.0000 0.5000
Bi2 Bi 0.5000 0.5000 0.5000
# ΔE_f	-7	kJ/mol of atoms
# crystal system	tetragonal

# Pm2AlTe, optimized geometry, DFT PBE-GGA
data_Pm2AlTe
_cell_length_a 8.2617
_cell_length_b 8.2617
_cell_length_c 8.2617
_cell_angle_alpha 29.55
_cell_angle_beta 29.55
_cell_angle_gamma 29.55
_space_group_name_H-M_alt 'P 1'
_space_group_IT_number 1
_space_group_name_Hall 'P 1'
loop_
_atom_site_label
_atom_site_type_symbol
_atom_site_fract_x
_atom_site_fract_y
_atom_site_fract_z
Pm1 Pm 0.2485 0.2485 0.2485
Pm2 Pm 0.7515 0.7515 0.7515
Al1 Al 0.5000 0.5000 0.5000
Te1 Te 0.0000 0.0000 0.0000
# crystal system	trigonal
# E above lowest polymorph	0.47	eV/f.u.
# formation energy (no corrections)	-0.81	eV/atom

# CaPuCuO6, optimized geometry, DFT PBE-GGA
data_CaPuCuO6
_cell_length_a 5.2280
_cell_length_b 5.2280
_cell_length_c 10.3898
_cell_angle_alpha 90.00
_cell_angle_beta 90.00
_cell_angle_gamma 120.00
_space_group_name_H-M_alt 'P 1'
_space_group_IT_number 1
_space_group_name_Hall 'P 1'
loop_
_atom_site_label
_atom_site_type_symbol
_atom_site_fract_x
_atom_site_fract_y
_atom_site_fract_z
Ca1 Ca 0.0000 0.0000 0.0000
Ca2 Ca 0.0000 0.0000 0.5000
Pu1 Pu 0.3333 0.6667 0.2500
Pu2 Pu 0.6667 0.3333 0.7500
Cu1 Cu 0.3333 0.6667 0.7500
Cu2 Cu 0.6667 0.3333 0.2500
O1 O 0.0029 0.3608 0.1415
O2 O 0.0029 0.6421 0.3585
O3 O 0.3579 0.3608 0.3585
O4 O 0.3579 0.9971 0.1415
O5 O 0.3608 0.0029 0.6415
O6 O 0.3608 0.3579 0.8585
O7 O 0.6392 0.6421 0.1415
O8 O 0.6392 0.9971 0.3585
O9 O 0.6421 0.0029 0.8585
O10 O 0.6421 0.6392 0.6415
O11 O 0.9971 0.3579 0.6415
O12 O 0.9971 0.6392 0.8585
# crystal system	trigonal
# formation energy (no corrections)	-1.93	eV/atom

# AlAsCl, optimized geometry, DFT PBE-GGA
data_AlAsCl
_cell_length_a 7.3741
_cell_length_b 7.3741
_cell_length_c 7.3741
_cell_angle_alpha 155.54
_cell_angle_beta 155.54
_cell_angle_gamma 34.87
_space_group_name_H-M_alt 'P 1'
_space_group_IT_number 1
_space_group_name_Hall 'P 1'
loop_
_atom_site_label
_atom_site_type_symbol
_atom_site_fract_x
_atom_site_fract_y
_atom_site_fract_z
Al1 Al 0.0000 0.0000 0.0000
As1 As 0.3861 0.3861 0.0000
Cl1 Cl 0.6170 0.6170 0.0000
# crystal system	tetragonal
# formation energy (no corrections)	-0.13	eV/atom

# TmSiGe, optimized geometry, DFT PBE-GGA
data_TmSiGe
_cell_length_a 8.1656
_cell_length_b 8.1656
_cell_length_c 3.7984
_cell_angle_alpha 90.00
_cell_angle_beta 90.00
_cell_angle_gamma 151.70
_space_group_name_H-M_alt 'P 1'
_space_group_IT_number 1
_space_group_name_Hall 'P 1'
loop_
_atom_site_label
_atom_site_type_symbol
_atom_site_fract_x
_atom_site_fract_y
_atom_site_fract_z
Tm1 Tm 0.1022 0.8978 0.7500
Tm2 Tm 0.8978 0.1022 0.2500
Si1 Si 0.4535 0.5465 0.7500
Si2 Si 0.5465 0.4535 0.2500
Ge1 Ge 0.2545 0.7455 0.2500
Ge2 Ge 0.7455 0.2545 0.7500
# crystal system	orthorhombic
# E above lowest polymorph	0.00	eV/f.u.
# formation energy (no corrections)	-0.56	eV/atom

# Zn4Cd, optimized geometry, DFT PBE-GGA
data_Zn4Cd
_cell_length_a 5.1052
_cell_length_b 5.1052
_cell_length_c 5.1052
_cell_angle_alpha 90.00
_cell_angle_beta 90.00
_cell_angle_gamma 90.00
_space_group_name_H-M_alt 'P 1'
_space_group_IT_number 1
_space_group_name_Hall 'P 1'
loop_
_atom_site_label
_atom_site_type_symbol
_atom_site_fract_x
_atom_site_fract_y
_atom_site_fract_z
Zn1 Zn 0.0000 0.0000 0.0000
Zn2 Zn 0.0000 0.5000 0.5000
Zn3 Zn 0.5000 0.0000 0.5000
Zn4 Zn 0.5000 0.5000 0.0000
Cd1 Cd 0.5000 0.5000 0.5000
# ΔE_f	52	kJ/mol of atoms
# crystal system	cubic
# E above lowest polymorph	2.34	eV/f.u.

# DyHo6Ni3, optimized geometry, DFT PBE-GGA
data_DyHo6Ni3
_cell_length_a 8.4570
_cell_length_b 8.4570
_cell_length_c 7.0161
_cell_angle_alpha 90.00
_cell_angle_beta 90.00
_cell_angle_gamma 99.63
_space_group_name_H-M_alt 'P 1'
_space_group_IT_number 1
_space_group_name_Hall 'P 1'
loop_
_atom_site_label
_atom_site_type_symbol
_atom_site_fract_x
_atom_site_fract_y
_atom_site_fract_z
Dy1 Dy 0.1801 0.8199 0.5000
Dy2 Dy 0.8199 0.1801 0.0000
Ho1 Ho 0.0814 0.4650 0.2707
Ho2 Ho 0.1300 0.2042 0.6230
Ho3 Ho 0.2042 0.1300 0.1230
Ho4 Ho 0.2736 0.7264 0.9621
Ho5 Ho 0.4650 0.0814 0.7707
Ho6 Ho 0.4681 0.5319 0.6156
Ho7 Ho 0.5319 0.4681 0.1156
Ho8 Ho 0.5350 0.9186 0.2707
Ho9 Ho 0.7264 0.2736 0.4621
Ho10 Ho 0.7958 0.8700 0.6230
Ho11 Ho 0.8700 0.7958 0.1230
Ho12 Ho 0.9186 0.5350 0.7707
Ni1 Ni 0.0826 0.9174 0.8311
Ni2 Ni 0.1986 0.4118 0.9064
Ni3 Ni 0.4118 0.1986 0.4064
Ni4 Ni 0.5882 0.8014 0.9064
Ni5 Ni 0.8014 0.5882 0.4064
Ni6 Ni 0.9174 0.0826 0.3311
# ΔE_f	-23	kJ/mol of atoms
# crystal system	orthorhombic

# Pa2ZnMo, optimized geometry, DFT PBE-GGA
data_Pa2ZnMo
_cell_length_a 4.4395
_cell_length_b 4.4395
_cell_length_c 4.1719
_cell_angle_alpha 90.00
_cell_angle_beta 90.00
_cell_angle_gamma 90.00
_space_group_name_H-M_alt 'P 1'
_space_group_IT_number 1
_space_group_name_Hall 'P 1'
loop_
_atom_site_label
_atom_site_type_symbol
_atom_site_fract_x
_atom_site_fract_y
_atom_site_fract_z
Pa1 Pa 0.0000 0.5000 0.0000
Pa2 Pa 0.5000 0.0000 0.0000
Zn1 Zn 0.0000 0.0000 0.5000
Mo1 Mo 0.5000 0.5000 0.5000
# ΔE_f	9	kJ/mol of atoms
# crystal system	tetragonal
# E above lowest polymorph	0.00	eV/f.u.